Computed, not measured: a relaxed structure of BeFeSi2O6 at the GGA+U level of DFT.

Values from the calculation:
total moment = 4.00 μB per formula unit
electronic total energy = -299.9 eV for the cell shown

Cell: 9.7236 9.4049 5.2713 Å, 90.00 114.38 90.00°
Space group C2/c (No. 15)
Unique sites:
Be1 0.0000 0.2008 0.2500
Fe1 0.0000 0.1205 0.7500
Si1 0.1951 0.4134 0.6817
O1 0.1003 0.2688 0.5558
O2 0.1175 0.0969 0.1753
O3 0.1530 0.4670 0.9365